# 1
Compound: DyYGa2Ag2
Source: the Open Quantum Materials Database
Functional: PBE
Structure: relaxed

a b c (Å): 4.5964 4.5964 7.0180
angles (deg): 90.00 90.00 120.00
Last column: nearest neighbours and their distance in Å.
Positions (direct):
Dy: 0.0000 0.0000 0.0000  6 Ga 3.06, 6 Ag 3.22
Y: 0.0000 0.0000 0.5000  6 Ag 3.15, 6 Ga 3.32, 2 Dy 3.51
Ga: 0.3333 0.6667 0.2168  3 Ag 2.67
Ga: 0.3333 0.6667 0.7832  3 Ag 2.67
Ag: 0.6667 0.3333 0.2594  3 Ga 2.67
Ag: 0.6667 0.3333 0.7406  3 Ga 2.67

VASP energy, eV per atom: -4.31
Total magnetization, μB per formula unit: 0.007
Excess energy over the best structure of this formula in the dataset, meV per atom: 0

# 2
Compound: GdDyAg
Source: the Open Quantum Materials Database
Functional: PBE
Structure: relaxed

a b c (Å): 4.9103 4.9103 4.9103
angles (deg): 60.00 60.00 60.00
Last column: nearest neighbours and their distance in Å.
Positions (direct):
Gd: 0.0000 0.0000 0.0000  4 Dy 3.01
Dy: 0.7500 0.7500 0.7500  4 Gd 3.01, 4 Ag 3.01
Ag: 0.5000 0.5000 0.5000  4 Dy 3.01

VASP energy, eV per atom: -3.50
Total magnetization, μB per formula unit: 0.004
Excess energy over the best structure of this formula in the dataset, meV per atom: 0
Formation energy, eV/atom: 0.527

# 3
Compound: GdDyAg6
Source: the Open Quantum Materials Database
Functional: PBE
Structure: relaxed

a b c (Å): 5.0246 6.1388 5.2210
angles (deg): 90.00 90.00 90.00
Last column: nearest neighbours and their distance in Å.
Positions (direct):
Gd: 0.0000 0.0000 0.0000  12 Ag 3.03-3.09
Dy: 0.5000 0.5000 0.6917  12 Ag 3.01-3.08
Ag: 0.0000 0.2573 0.5056  8 Ag 2.92-3.16, 2 Gd 3.03-3.08, 2 Dy 3.08
Ag: 0.0000 0.5000 0.0248  8 Ag 2.92-3.09, 2 Dy 3.06, 2 Gd 3.07
Ag: 0.0000 0.7427 0.5056  8 Ag 2.92-3.16, 2 Gd 3.03-3.08, 2 Dy 3.08
Ag: 0.5000 0.0000 0.6620  8 Ag 2.91-3.13, 2 Gd 3.07, 2 Dy 3.07
Ag: 0.5000 0.2474 0.1861  8 Ag 2.91-3.13, 2 Dy 3.01-3.06, 2 Gd 3.09
Ag: 0.5000 0.7526 0.1861  8 Ag 2.91-3.13, 2 Dy 3.01-3.06, 2 Gd 3.09

VASP energy, eV per atom: -3.54
Total magnetization, μB per formula unit: 0.001
Formation energy, eV/atom: -0.262

# 4
Compound: Gd2DyIn3AgIr2
Source: the Open Quantum Materials Database
Functional: PBE
Structure: relaxed

a b c (Å): 3.8665 7.7286 7.7286
angles (deg): 119.99 90.00 90.00
Last column: nearest neighbours and their distance in Å.
Positions (direct):
Gd: 0.0000 0.2064 0.7936  4 Ir 3.03, 2 In 3.14, 1 Ag 3.19
Gd: 0.0000 0.7936 0.2064  4 Ir 3.03, 2 In 3.14, 1 Ag 3.19
Dy: 0.0000 0.3809 0.3809  4 Ir 3.03, 2 In 3.13, 1 Ag 3.19
In: 0.5000 0.0617 0.0617  2 Ag 2.83, 2 Ir 2.86, 2 Dy 3.13
In: 0.5000 0.5258 0.7935  2 Ag 2.83, 2 Ir 2.86-2.87, 2 Gd 3.14
In: 0.5000 0.7935 0.5258  2 Ag 2.83, 2 Ir 2.86-2.87, 2 Gd 3.14
Ag: 0.0000 0.7935 0.7935  6 In 2.83
Ir: 0.5000 0.1272 0.4602  3 In 2.86-2.87, 2 Dy 3.03, 4 Gd 3.03
Ir: 0.5000 0.4602 0.1272  3 In 2.86-2.87, 2 Dy 3.03, 4 Gd 3.03

VASP energy, eV per atom: -5.35
Total magnetization, μB per formula unit: 0.014

# 5
Compound: Gd2DyIn3AgPd2
Source: the Open Quantum Materials Database
Functional: PBE
Structure: relaxed

a b c (Å): 3.8273 7.8373 7.8373
angles (deg): 119.98 90.00 90.00
Last column: nearest neighbours and their distance in Å.
Positions (direct):
Gd: 0.0000 0.2051 0.7949  4 Pd 3.05, 2 In 3.17, 1 Ag 3.22
Gd: 0.0000 0.7949 0.2051  4 Pd 3.05, 2 In 3.17, 1 Ag 3.22
Dy: 0.0000 0.3847 0.3847  4 Pd 3.04, 2 In 3.17, 1 Ag 3.21
In: 0.5000 0.0627 0.0627  2 Ag 2.84, 2 Pd 2.90, 2 Dy 3.17
In: 0.5000 0.5272 0.7948  2 Ag 2.84, 2 Pd 2.90-2.91, 2 Gd 3.17
In: 0.5000 0.7948 0.5272  2 Ag 2.84, 2 Pd 2.90-2.91, 2 Gd 3.17
Ag: 0.0000 0.7948 0.7948  6 In 2.84
Pd: 0.5000 0.1285 0.4615  3 In 2.90-2.91, 2 Dy 3.04, 4 Gd 3.05
Pd: 0.5000 0.4615 0.1285  3 In 2.90-2.91, 2 Dy 3.04, 4 Gd 3.05

VASP energy, eV per atom: -4.62
Total magnetization, μB per formula unit: 0.011

# 6
Compound: GdDy2In3AgPd2
Source: the Open Quantum Materials Database
Functional: PBE
Structure: relaxed

a b c (Å): 3.8196 7.8266 7.8266
angles (deg): 120.02 90.00 90.00
Last column: nearest neighbours and their distance in Å.
Positions (direct):
Gd: 0.0000 0.0000 0.0000  4 Pd 3.04, 2 In 3.16, 1 Ag 3.21
Dy: 0.0000 0.1796 0.5898  4 Pd 3.04, 2 In 3.16, 1 Ag 3.21
Dy: 0.0000 0.5898 0.1796  4 Pd 3.04, 2 In 3.16, 1 Ag 3.21
In: 0.5000 0.3223 0.3223  2 Ag 2.83, 2 Pd 2.90, 2 Gd 3.16
In: 0.5000 0.5897 0.8576  2 Ag 2.84, 2 Pd 2.90, 2 Dy 3.16
In: 0.5000 0.8576 0.5897  2 Ag 2.84, 2 Pd 2.90, 2 Dy 3.16
Ag: 0.0000 0.5897 0.5897  6 In 2.83-2.84
Pd: 0.5000 0.2567 0.9231  3 In 2.90, 4 Dy 3.04, 2 Gd 3.04
Pd: 0.5000 0.9231 0.2567  3 In 2.90, 4 Dy 3.04, 2 Gd 3.04

VASP energy, eV per atom: -4.61
Total magnetization, μB per formula unit: 0.028

# 7
Compound: GdDy2In3AgPt2
Source: the Open Quantum Materials Database
Functional: PBE
Structure: relaxed

a b c (Å): 3.7830 7.8353 7.8353
angles (deg): 120.10 90.00 90.00
Last column: nearest neighbours and their distance in Å.
Positions (direct):
Gd: 0.0000 0.0000 0.0000  4 Pt 3.04, 6 In 3.16-3.40, 1 Ag 3.20
Dy: 0.0000 0.1816 0.5909  4 Pt 3.03, 2 In 3.15, 1 Ag 3.21
Dy: 0.0000 0.5909 0.1816  4 Pt 3.03, 2 In 3.15, 1 Ag 3.21
In: 0.5000 0.3229 0.3229  2 Ag 2.82, 2 Pt 2.91, 2 Gd 3.16
In: 0.5000 0.5903 0.8596  2 Ag 2.83, 2 Pt 2.88-2.90, 2 Dy 3.15
In: 0.5000 0.8596 0.5903  2 Ag 2.83, 2 Pt 2.88-2.90, 2 Dy 3.15
Ag: 0.0000 0.5905 0.5905  6 In 2.82-2.83
Pt: 0.5000 0.2587 0.9238  3 In 2.88-2.91, 4 Dy 3.03, 2 Gd 3.04
Pt: 0.5000 0.9238 0.2587  3 In 2.88-2.91, 4 Dy 3.03, 2 Gd 3.04

VASP energy, eV per atom: -4.94
Total magnetization, μB per formula unit: 0.005

# 8
Compound: Gd2DyIn3AgPt2
Source: the Open Quantum Materials Database
Functional: PBE
Structure: relaxed

a b c (Å): 3.7941 7.8342 7.8342
angles (deg): 119.95 90.00 90.00
Last column: nearest neighbours and their distance in Å.
Positions (direct):
Gd: 0.0000 0.2050 0.7950  4 Pt 3.04, 4 In 3.16-3.40, 1 Ag 3.21
Gd: 0.0000 0.7950 0.2050  4 Pt 3.04, 4 In 3.16-3.40, 1 Ag 3.21
Dy: 0.0000 0.3848 0.3848  4 Pt 3.02, 2 In 3.15, 1 Ag 3.21
In: 0.5000 0.0633 0.0633  2 Ag 2.84, 2 Pt 2.89, 2 Dy 3.15
In: 0.5000 0.5269 0.7942  2 Ag 2.83, 2 Pt 2.89-2.92, 2 Gd 3.16
In: 0.5000 0.7942 0.5269  2 Ag 2.83, 2 Pt 2.89-2.92, 2 Gd 3.16
Ag: 0.0000 0.7945 0.7945  6 In 2.83-2.84
Pt: 0.5000 0.1299 0.4610  3 In 2.89-2.92, 2 Dy 3.02, 4 Gd 3.04
Pt: 0.5000 0.4610 0.1299  3 In 2.89-2.92, 2 Dy 3.02, 4 Gd 3.04

VASP energy, eV per atom: -4.94
Total magnetization, μB per formula unit: 0.005

# 9
Compound: GdDyMg2Ag4
Source: the Open Quantum Materials Database
Functional: PBE
Structure: relaxed

a b c (Å): 4.9366 6.9886 4.9334
angles (deg): 90.00 90.00 90.00
Last column: nearest neighbours and their distance in Å.
Positions (direct):
Gd: 0.0000 0.0000 0.0000  8 Ag 3.03-3.04
Dy: 0.5000 0.5000 0.5058  8 Ag 3.01-3.02
Mg: 0.0000 0.5000 0.0019  8 Ag 3.00-3.02
Mg: 0.5000 0.0000 0.5037  8 Ag 3.02-3.04
Ag: 0.0000 0.2525 0.4994  4 Mg 3.00-3.03, 2 Dy 3.01, 2 Gd 3.03-3.04
Ag: 0.0000 0.7475 0.4994  4 Mg 3.00-3.03, 2 Dy 3.01, 2 Gd 3.03-3.04
Ag: 0.5000 0.2523 0.0065  2 Dy 3.01-3.02, 4 Mg 3.01-3.04, 2 Gd 3.03
Ag: 0.5000 0.7477 0.0065  2 Dy 3.01-3.02, 4 Mg 3.01-3.04, 2 Gd 3.03

VASP energy, eV per atom: -3.27
Total magnetization, μB per formula unit: 0.005

# 10
Compound: GdDyMg2Ag4
Source: the Open Quantum Materials Database
Functional: PBE
Structure: relaxed

a b c (Å): 4.9238 4.9238 6.9667
angles (deg): 90.00 90.00 90.00
Last column: nearest neighbours and their distance in Å.
Positions (direct):
Gd: 0.0000 0.0000 0.0000  8 Ag 3.02
Dy: 0.5000 0.5000 0.5000  8 Ag 3.01
Mg: 0.0000 0.0000 0.5000  8 Ag 3.01
Mg: 0.5000 0.5000 0.0000  8 Ag 3.02
Ag: 0.0000 0.5000 0.2506  2 Dy 3.01, 4 Mg 3.01-3.02, 2 Gd 3.02
Ag: 0.0000 0.5000 0.7494  2 Dy 3.01, 4 Mg 3.01-3.02, 2 Gd 3.02
Ag: 0.5000 0.0000 0.2506  2 Dy 3.01, 4 Mg 3.01-3.02, 2 Gd 3.02
Ag: 0.5000 0.0000 0.7494  2 Dy 3.01, 4 Mg 3.01-3.02, 2 Gd 3.02

VASP energy, eV per atom: -3.26
Total magnetization, μB per formula unit: 0.006

# 11
Compound: Gd2DyTl3AgPd2
Source: the Open Quantum Materials Database
Functional: PBE
Structure: relaxed

a b c (Å): 3.7977 7.9406 7.9406
angles (deg): 119.94 90.00 90.00
Last column: nearest neighbours and their distance in Å.
Positions (direct):
Gd: 0.0000 0.2035 0.7965  4 Pd 3.07, 6 Tl 3.17-3.43, 1 Ag 3.23
Gd: 0.0000 0.7965 0.2035  4 Pd 3.07, 6 Tl 3.17-3.43, 1 Ag 3.23
Dy: 0.0000 0.3893 0.3893  4 Pd 3.05, 2 Tl 3.17, 1 Ag 3.23
Tl: 0.5000 0.0698 0.0698  2 Ag 2.89, 2 Pd 2.90, 2 Dy 3.17
Tl: 0.5000 0.5234 0.7960  2 Ag 2.88, 2 Pd 2.91-2.94, 2 Gd 3.17
Tl: 0.5000 0.7960 0.5234  2 Ag 2.88, 2 Pd 2.91-2.94, 2 Gd 3.17
Ag: 0.0000 0.7961 0.7961  6 Tl 2.88-2.89
Pd: 0.5000 0.1316 0.4626  3 Tl 2.90-2.94, 2 Dy 3.05, 4 Gd 3.07
Pd: 0.5000 0.4626 0.1316  3 Tl 2.90-2.94, 2 Dy 3.05, 4 Gd 3.07

VASP energy, eV per atom: -4.35
Total magnetization, μB per formula unit: 0.014

# 12
Compound: GdDy2Tl3AgPt2
Source: the Open Quantum Materials Database
Functional: PBE
Structure: relaxed

a b c (Å): 3.7817 7.9450 7.9450
angles (deg): 120.11 90.00 90.00
Last column: nearest neighbours and their distance in Å.
Positions (direct):
Gd: 0.0000 0.0000 0.0000  4 Pt 3.07, 2 Tl 3.17, 1 Ag 3.26
Dy: 0.0000 0.1794 0.5899  4 Pt 3.05, 2 Tl 3.16, 1 Ag 3.26
Dy: 0.0000 0.5899 0.1794  4 Pt 3.05, 2 Tl 3.16, 1 Ag 3.26
Tl: 0.5000 0.3201 0.3201  2 Ag 2.85, 2 Pt 2.94, 2 Gd 3.17
Tl: 0.5000 0.5894 0.8599  2 Ag 2.86, 2 Pt 2.92-2.93, 2 Dy 3.16
Tl: 0.5000 0.8599 0.5894  2 Ag 2.86, 2 Pt 2.92-2.93, 2 Dy 3.16
Ag: 0.0000 0.5895 0.5895  6 Tl 2.85-2.86
Pt: 0.5000 0.2578 0.9227  3 Tl 2.92-2.94, 4 Dy 3.05, 2 Gd 3.07
Pt: 0.5000 0.9227 0.2578  3 Tl 2.92-2.94, 4 Dy 3.05, 2 Gd 3.07

VASP energy, eV per atom: -4.65
Total magnetization, μB per formula unit: 0.006

total magnetization of number 8 (Gd2DyIn3AgPt2)?
0.005 μB per formula unit

Which of these has the lowest VASP energy?
Gd2DyIn3AgIr2

Number 10 is which compound?
GdDyMg2Ag4

Which formula does entry 6 have?
GdDy2In3AgPd2